A.
An optimized crystal structure of Sr5ZrTi4O15, computed with PBEsol.

Output
- Crystal system: tetragonal

Cell lengths 3.9603, 3.9603, 19.6784 Å; angles 90.00, 90.00, 90.00 degrees
Atoms (fractional coordinates):
Sr  0.5000  0.5000  0.5000
Sr  0.5000  0.5000  0.8912
Sr  0.5000  0.5000  0.1088
Sr  0.5000  0.5000  0.6959
Sr  0.5000  0.5000  0.3041
O  0.5000  0.0000  0.0000
O  0.5000  0.0000  0.4018
O  0.0000  0.5000  0.7948
O  0.5000  0.0000  0.2052
O  0.5000  0.0000  0.7948
O  0.0000  0.0000  0.6963
O  0.0000  0.5000  0.0000
O  0.0000  0.5000  0.2052
O  0.0000  0.0000  0.5000
O  0.5000  0.0000  0.5982
O  0.0000  0.0000  0.3037
O  0.0000  0.0000  0.8926
O  0.0000  0.5000  0.4018
O  0.0000  0.5000  0.5982
O  0.0000  0.0000  0.1074
Ti  0.0000  0.0000  0.2049
Ti  0.0000  0.0000  0.5983
Ti  0.0000  0.0000  0.4017
Ti  0.0000  0.0000  0.7951
Zr  0.0000  0.0000  0.0000

***

B.
An optimized crystal structure of Sr5ZrTi4O15, computed with PBEsol.

Output
- Crystal system: orthorhombic

Cell lengths 3.9628, 5.5712, 14.2121 Å; angles 101.30, 90.00, 90.00 degrees
Atoms (fractional coordinates):
Ti  0.0000  0.3975  0.7950
Ti  0.0000  0.6025  0.2050
Ti  0.0000  0.7989  0.5979
Ti  0.0000  0.2011  0.4021
O  0.0000  0.3131  0.1055
O  0.0000  0.0000  0.5000
O  0.5000  0.7990  0.5980
O  0.5000  0.2010  0.4020
O  0.0000  0.5000  0.5000
O  0.5000  0.0000  0.0000
O  0.0000  0.6014  0.6968
O  0.0000  0.7924  0.1055
O  0.5000  0.3959  0.7918
O  0.0000  0.3986  0.3032
O  0.0000  0.9047  0.3032
O  0.0000  0.0953  0.6968
O  0.0000  0.6869  0.8945
O  0.5000  0.6041  0.2082
O  0.0000  0.2076  0.8945
Sr  0.5000  0.7007  0.4015
Sr  0.5000  0.8952  0.7904
Sr  0.5000  0.1048  0.2096
Sr  0.5000  0.5000  0.0000
Sr  0.5000  0.2993  0.5985
Zr  0.0000  0.0000  0.0000

***

C.
An optimized crystal structure of Sr5ZrTi4O15, computed with PBEsol.

Output
- Crystal system: trigonal

Cell lengths 5.5739, 5.5739, 11.8555 Å; angles 76.40, 76.40, 60.00 degrees
Atoms (fractional coordinates):
O  0.5000  0.0000  0.5000
O  0.7931  0.7931  0.1065
O  0.0997  0.6020  0.6964
O  0.0000  0.5000  0.5000
O  0.0000  0.0000  0.5000
O  0.2069  0.2069  0.8935
O  0.6926  0.2069  0.8935
O  0.3074  0.7931  0.1065
O  0.2069  0.6926  0.8935
O  0.6020  0.6020  0.6964
O  0.3980  0.9003  0.3036
O  0.9003  0.3980  0.3036
O  0.3980  0.3980  0.3036
O  0.6020  0.0997  0.6964
O  0.7931  0.3074  0.1065
Sr  0.2973  0.2973  0.1081
Sr  0.8980  0.8980  0.3060
Sr  0.5000  0.5000  0.5000
Sr  0.7027  0.7027  0.8919
Sr  0.1020  0.1020  0.6940
Ti  0.1995  0.1995  0.4015
Ti  0.8005  0.8005  0.5985
Ti  0.4018  0.4018  0.7946
Ti  0.5982  0.5982  0.2054
Zr  0.0000  0.0000  0.0000

***

Stability ranking, top and bottom: C is the most stable and A is the least stable.

***

A.
An optimized crystal structure of Sr4ZrTi3O12, computed with PBEsol.

Output
- Crystal system: tetragonal

Cell lengths 3.9736, 3.9736, 15.7824 Å; angles 90.00, 90.00, 90.00 degrees
Atoms (fractional coordinates):
Ti  0.0000  0.0000  0.7450
Ti  0.0000  0.0000  0.2550
Ti  0.0000  0.0000  0.5000
Sr  0.5000  0.5000  0.1355
Sr  0.5000  0.5000  0.3783
Sr  0.5000  0.5000  0.6217
Sr  0.5000  0.5000  0.8645
O  0.0000  0.5000  0.0000
O  0.0000  0.0000  0.8664
O  0.5000  0.0000  0.7447
O  0.0000  0.0000  0.6222
O  0.5000  0.0000  0.5000
O  0.0000  0.5000  0.2553
O  0.5000  0.0000  0.0000
O  0.5000  0.0000  0.2553
O  0.0000  0.5000  0.7447
O  0.0000  0.5000  0.5000
O  0.0000  0.0000  0.3778
O  0.0000  0.0000  0.1336
Zr  0.0000  0.0000  0.0000

***

B.
An optimized crystal structure of Sr4ZrTi3O12, computed with PBEsol.

Output
- Crystal system: orthorhombic

Cell lengths 3.9772, 5.5874, 11.1800 Å; angles 90.00, 90.00, 90.00 degrees
Atoms (fractional coordinates):
Ti  0.0000  0.0000  0.5000
Ti  0.0000  0.5000  0.7450
Ti  0.0000  0.5000  0.2550
O  0.0000  0.2472  0.6227
O  0.0000  0.2604  0.8688
O  0.5000  0.5000  0.7411
O  0.0000  0.7396  0.1312
O  0.0000  0.2472  0.3773
O  0.5000  0.0000  0.5000
O  0.0000  0.2604  0.1312
O  0.0000  0.7396  0.8688
O  0.5000  0.0000  0.0000
O  0.0000  0.7528  0.3773
O  0.5000  0.5000  0.2589
O  0.0000  0.7528  0.6227
Zr  0.0000  0.0000  0.0000
Sr  0.5000  0.5000  0.0000
Sr  0.5000  0.5000  0.5000
Sr  0.5000  0.0000  0.7393
Sr  0.5000  0.0000  0.2607

***

Stability ranking, top and bottom: B is the most stable and A is the least stable.

***

A.
An optimized crystal structure of Sr2VO4, computed with PBEsol.

Output
- Crystal system: tetragonal

Cell lengths 3.7831, 3.7831, 6.8365 Å; angles 106.06, 106.06, 90.00 degrees
Site moments in Bohr magnetons follow the coordinates.
Atoms (fractional coordinates):
Sr  0.3543  0.3543  0.7085  0.00
Sr  0.6457  0.6457  0.2915  0.00
V  0.0000  0.0000  0.0000  0.71
O  0.1578  0.1578  0.3155  0.03
O  0.0000  0.5000  0.0000  -0.03
O  0.8422  0.8422  0.6845  0.03
O  0.5000  0.0000  0.0000  -0.03

***

B.
An optimized crystal structure of Sr2VO4, computed with PBEsol.

Output
- Crystal system: orthorhombic

Cell lengths 5.8546, 10.4519, 14.4456 Å; angles 90.00, 90.00, 90.00 degrees
Site moments in Bohr magnetons follow the coordinates.
Atoms (fractional coordinates):
O  0.4998  0.4499  0.7340  -0.01
O  0.3438  0.6754  0.3650  0.00
O  0.0369  0.5002  0.4734  -0.01
O  0.5879  0.8385  0.6613  0.00
O  0.3506  0.2611  0.1469  -0.01
O  0.0002  0.4499  0.2340  -0.01
O  0.0879  0.3385  0.8387  0.00
O  0.8166  0.2466  0.4558  0.01
O  0.0285  0.0598  0.9804  0.00
O  0.4715  0.0598  0.4804  0.00
O  0.9121  0.8385  0.1613  0.00
O  0.6494  0.7611  0.8531  -0.01
O  0.4121  0.3385  0.3387  0.00
O  0.9998  0.9499  0.7660  -0.01
O  0.9774  0.0107  0.2977  0.02
O  0.1494  0.2611  0.6469  -0.01
O  0.5226  0.0107  0.7977  0.02
O  0.9631  0.0002  0.5266  -0.01
O  0.5285  0.5598  0.5196  0.00
O  0.6834  0.2466  0.9558  0.01
O  0.5369  0.0002  0.0266  -0.01
O  0.1834  0.7466  0.5442  0.01
O  0.0226  0.5107  0.7023  0.02
O  0.8438  0.1754  0.1350  0.00
O  0.6562  0.1754  0.6350  0.00
O  0.9715  0.5598  0.0196  0.00
O  0.4774  0.5107  0.2023  0.02
O  0.8506  0.7611  0.3531  -0.01
O  0.5002  0.9499  0.2660  -0.01
O  0.1562  0.6754  0.8650  0.00
O  0.4631  0.5002  0.9734  -0.01
O  0.3166  0.7466  0.0442  0.01
V  0.7606  0.1127  0.0272  0.74
V  0.2606  0.6127  0.4728  0.74
V  0.7830  0.8812  0.2696  0.96
V  0.7170  0.8812  0.7696  0.96
V  0.2394  0.6127  0.9728  0.74
V  0.2170  0.3812  0.7304  0.96
V  0.2830  0.3812  0.2304  0.96
V  0.7394  0.1127  0.5272  0.74
Sr  0.8191  0.1692  0.7947  0.02
Sr  0.2224  0.2760  0.4754  0.01
Sr  0.3191  0.6692  0.7053  0.02
Sr  0.7049  0.5259  0.3509  0.01
Sr  0.2951  0.0259  0.6491  0.01
Sr  0.7776  0.7760  0.5246  0.01
Sr  0.2776  0.2760  0.9754  0.01
Sr  0.2049  0.0259  0.1491  0.01
Sr  0.7330  0.4058  0.0979  0.01
Sr  0.2670  0.9058  0.9021  0.01
Sr  0.7670  0.4058  0.5979  0.01
Sr  0.7951  0.5259  0.8509  0.01
Sr  0.2330  0.9058  0.4021  0.01
Sr  0.1809  0.6692  0.2053  0.02
Sr  0.6809  0.1692  0.2947  0.02
Sr  0.7224  0.7760  0.0246  0.01

***

Stability ranking, top and bottom: A is the most stable and B is the least stable.

***

A.
An optimized crystal structure of Tb3TaO7, computed with PBEsol.

Output
- Crystal system: orthorhombic

Cell lengths 6.4416, 6.4416, 7.4198 Å; angles 90.00, 90.00, 108.81 degrees
Atoms (fractional coordinates):
Ta  0.0012  0.0012  0.5000
Ta  0.9988  0.9988  0.0000
O  0.6384  0.3616  0.7500
O  0.6711  0.9165  0.4766
O  0.0689  0.9311  0.2500
O  0.0835  0.3289  0.0234
O  0.6918  0.9490  0.0447
O  0.0510  0.3082  0.4553
O  0.6293  0.3707  0.2500
O  0.9165  0.6711  0.5234
O  0.3616  0.6384  0.2500
O  0.3082  0.0510  0.5447
O  0.9311  0.0689  0.7500
O  0.3707  0.6293  0.7500
O  0.9490  0.6918  0.9553
O  0.3289  0.0835  0.9766
Tb  0.9993  0.5367  0.2404
Tb  0.5335  0.5335  0.5000
Tb  0.4633  0.0007  0.2596
Tb  0.4665  0.4665  0.0000
Tb  0.0007  0.4633  0.7404
Tb  0.5367  0.9993  0.7596

***

B.
An optimized crystal structure of Tb3TaO7, computed with PBEsol.

Output
- Crystal system: orthorhombic

Cell lengths 6.4015, 6.4015, 7.4547 Å; angles 90.00, 90.00, 110.89 degrees
Atoms (fractional coordinates):
O  0.5639  0.8228  0.9629
O  0.5820  0.5820  0.2500
O  0.1772  0.4361  0.4629
O  0.8228  0.5639  0.9629
O  0.5639  0.8228  0.5371
O  0.4361  0.1772  0.0371
O  0.1095  0.8460  0.2500
O  0.8228  0.5639  0.5371
O  0.8905  0.1540  0.7500
O  0.1772  0.4361  0.0371
O  0.8460  0.1095  0.2500
O  0.1540  0.8905  0.7500
O  0.4361  0.1772  0.4629
O  0.4180  0.4180  0.7500
Tb  0.0000  0.0000  0.5000
Tb  0.5190  0.0635  0.7500
Tb  0.4810  0.9365  0.2500
Tb  0.0635  0.5190  0.7500
Tb  0.0000  0.0000  0.0000
Tb  0.9365  0.4810  0.2500
Ta  0.5000  0.5000  0.0000
Ta  0.5000  0.5000  0.5000

***

Stability ranking, top and bottom: A is the most stable and B is the least stable.

***

A.
An optimized crystal structure of Tm3TaO7, computed with PBEsol.

Output
- Crystal system: orthorhombic

Cell lengths 6.2942, 6.2942, 7.3444 Å; angles 90.00, 90.00, 110.60 degrees
Atoms (fractional coordinates):
O  0.8269  0.5651  0.5381
O  0.8269  0.5651  0.9619
O  0.1109  0.8459  0.2500
O  0.1731  0.4349  0.0381
O  0.8459  0.1109  0.2500
O  0.4108  0.4108  0.7500
O  0.1541  0.8891  0.7500
O  0.5651  0.8269  0.9619
O  0.1731  0.4349  0.4619
O  0.4349  0.1731  0.4619
O  0.5892  0.5892  0.2500
O  0.8891  0.1541  0.7500
O  0.4349  0.1731  0.0381
O  0.5651  0.8269  0.5381
Tm  0.0000  0.0000  0.0000
Tm  0.9411  0.4833  0.2500
Tm  0.4833  0.9411  0.2500
Tm  0.0589  0.5167  0.7500
Tm  0.5167  0.0589  0.7500
Tm  0.0000  0.0000  0.5000
Ta  0.5000  0.5000  0.0000
Ta  0.5000  0.5000  0.5000

***

B.
An optimized crystal structure of Tm3TaO7, computed with PBEsol.

Output
- Crystal system: orthorhombic

Cell lengths 6.3396, 6.3396, 7.2974 Å; angles 90.00, 90.00, 108.70 degrees
Atoms (fractional coordinates):
Tm  0.4636  0.9997  0.2597
Tm  0.0003  0.5364  0.2403
Tm  0.4646  0.4646  0.0000
Tm  0.5364  0.0003  0.7597
Tm  0.9997  0.4636  0.7403
Tm  0.5354  0.5354  0.5000
O  0.6294  0.3706  0.2500
O  0.3607  0.6393  0.2500
O  0.9257  0.0743  0.7500
O  0.3330  0.0854  0.9757
O  0.9483  0.6881  0.9529
O  0.6670  0.9146  0.4757
O  0.3119  0.0517  0.5471
O  0.9146  0.6670  0.5243
O  0.6393  0.3607  0.7500
O  0.6881  0.9483  0.0471
O  0.0743  0.9257  0.2500
O  0.0854  0.3330  0.0243
O  0.0517  0.3119  0.4529
O  0.3706  0.6294  0.7500
Ta  0.0015  0.0015  0.5000
Ta  0.9985  0.9985  0.0000

***

Stability ranking, top and bottom: B is the most stable and A is the least stable.

***

A.
An optimized crystal structure of Tb2WO6, computed with PBEsol.

Output
- Crystal system: monoclinic

Cell lengths 5.3599, 9.5921, 9.5921 Å; angles 69.69, 77.57, 77.57 degrees
Atoms (fractional coordinates):
W  0.5823  0.8173  0.4977
W  0.0823  0.4977  0.8173
W  0.9177  0.5023  0.1827
W  0.4177  0.1827  0.5023
O  0.4201  0.8496  0.3185
O  0.0799  0.6815  0.1504
O  0.8591  0.3090  0.2229
O  0.7205  0.0371  0.4704
O  0.5799  0.1504  0.6815
O  0.9199  0.0792  0.1029
O  0.1409  0.6910  0.7771
O  0.7795  0.5296  0.9629
O  0.0322  0.5376  0.6224
O  0.4031  0.3772  0.8166
O  0.5801  0.8971  0.9208
O  0.0801  0.9208  0.8971
O  0.9031  0.8166  0.3772
O  0.2205  0.4704  0.0371
O  0.3591  0.2229  0.3090
O  0.9678  0.4624  0.3776
O  0.5322  0.6224  0.5376
O  0.2795  0.9629  0.5296
O  0.9201  0.3185  0.8496
O  0.4199  0.1029  0.0792
O  0.0969  0.1834  0.6228
O  0.4678  0.3776  0.4624
O  0.5969  0.6228  0.1834
O  0.6409  0.7771  0.6910
Tb  0.8874  0.9396  0.7134
Tb  0.2500  0.6237  0.3763
Tb  0.3874  0.7134  0.9396
Tb  0.7500  0.8907  0.1093
Tb  0.1126  0.0604  0.2866
Tb  0.6126  0.2866  0.0604
Tb  0.2500  0.1093  0.8907
Tb  0.7500  0.3763  0.6237

***

B.
An optimized crystal structure of Tb2WO6, computed with PBEsol.

Output
- Crystal system: monoclinic

Cell lengths 5.3521, 5.5538, 8.1236 Å; angles 96.37, 90.00, 90.00 degrees
Atoms (fractional coordinates):
O  0.8611  0.7988  0.2013
O  0.3611  0.2012  0.7987
O  0.2532  0.2505  0.4731
O  0.7594  0.2491  0.5232
O  0.7928  0.0121  0.9100
O  0.1618  0.7009  0.8090
O  0.6930  0.5227  0.9132
O  0.1930  0.4773  0.0868
O  0.7532  0.7495  0.5269
O  0.2594  0.7509  0.4768
O  0.6618  0.2991  0.1910
O  0.2928  0.9879  0.0900
W  0.4339  0.2542  0.0204
W  0.9339  0.7458  0.9796
Tb  0.0334  0.0177  0.6363
Tb  0.4778  0.5157  0.6371
Tb  0.9778  0.4843  0.3629
Tb  0.5334  0.9823  0.3637

***

Stability ranking, top and bottom: A is the most stable and B is the least stable.